# 1
VASP calculation (PBE-GGA) on a relaxed structure of Dy2LuHf.

Cell lengths 4.7861, 4.8219, 4.8219 Å; angles 90.00, 90.00, 90.00 degrees
Closest atoms and distances in Å follow each position.
Positions (direct):
Dy (0.0000, 0.5000, 0.0000)  4 Hf 3.40, 4 Lu 3.40, 4 Dy 3.41
Hf (0.5000, 0.0000, 0.0000)  8 Dy 3.40, 4 Lu 3.41
Dy (0.0000, 0.0000, 0.5000)  4 Hf 3.40, 4 Lu 3.40, 4 Dy 3.41
Lu (0.5000, 0.5000, 0.5000)  8 Dy 3.40, 4 Hf 3.41

E above lowest polymorph ... 0.0 kJ/mol of formula units
SG ... No. 123
Raw total energy ... -5.786 eV per atom



# 2
VASP calculation (PBE-GGA) on a relaxed structure of DyLuHfZr.

Cell lengths 5.2705, 5.2705, 5.2705 Å; angles 60.00, 60.00, 60.00 degrees
Closest atoms and distances in Å follow each position.
Positions (direct):
Lu (0.7500, 0.7500, 0.7500)  4 Dy 3.23, 4 Zr 3.23
Dy (0.0000, 0.0000, 0.0000)  4 Hf 3.23, 4 Lu 3.23
Hf (0.2500, 0.2500, 0.2500)  4 Dy 3.23, 4 Zr 3.23
Zr (0.5000, 0.5000, 0.5000)  4 Hf 3.23, 4 Lu 3.23

SG ... No. 216
Raw total energy ... -6.661 eV per atom



# 3
VASP calculation (PBE-GGA) on a relaxed structure of Dy2HfMg.

Cell lengths 3.4615, 5.5364, 5.5364 Å; angles 90.00, 90.00, 90.00 degrees
Closest atoms and distances in Å follow each position.
Positions (direct):
Hf (0.5000, 0.5000, 0.5000)  8 Dy 3.26, 2 Hf 3.46
Mg (0.5000, 0.0000, 0.0000)  8 Dy 3.26, 2 Mg 3.46
Dy (0.0000, 0.5000, 0.0000)  4 Hf 3.26, 4 Mg 3.26, 2 Dy 3.46
Dy (0.0000, 0.0000, 0.5000)  4 Hf 3.26, 4 Mg 3.26, 2 Dy 3.46

E above lowest polymorph ... 49.7 kJ/mol of formula units
SG ... No. 123
Raw total energy ... -5.043 eV per atom



Copy entry 2 word for word.
VASP calculation (PBE-GGA) on a relaxed structure of DyLuHfZr.

Cell lengths 5.2705, 5.2705, 5.2705 Å; angles 60.00, 60.00, 60.00 degrees
Closest atoms and distances in Å follow each position.
Positions (direct):
Lu (0.7500, 0.7500, 0.7500)  4 Dy 3.23, 4 Zr 3.23
Dy (0.0000, 0.0000, 0.0000)  4 Hf 3.23, 4 Lu 3.23
Hf (0.2500, 0.2500, 0.2500)  4 Dy 3.23, 4 Zr 3.23
Zr (0.5000, 0.5000, 0.5000)  4 Hf 3.23, 4 Lu 3.23

SG ... No. 216
Raw total energy ... -6.661 eV per atom



> What is the raw total energy in the third record?

-5.043 eV per atom



> Among the records above, which one has the highest raw total energy?

Dy2HfMg



> The lowest raw total energy belongs to which entry?

DyLuHfZr